# 1
# YAlRu2

Crystalline YAlRu2 at its relaxed geometry (GGA-PBE, the Alexandria database).

Summary:
Uncorrected energy, eV per cell: -58.087
ΔH_f (0 K), eV per atom: -0.071
Spin magnetization, Bohr magnetons per cell: 0.00

abc: 5.9447 8.5722 2.9492
angles: 90.00 115.04 90.00
Last column: nearest neighbours and their distance in Å.
Space group C2/m (No. 12)
Unique sites:
Y 0.0000 0.0000 0.0000 (multiplicity 2)  4 Ru 2.67, 2 Y 2.95, 2 Al 2.97
Al 0.0000 0.5000 0.0000 (multiplicity 2)  4 Ru 2.67, 2 Al 2.95, 2 Y 2.97
Ru 0.2500 0.2500 0.5000 (multiplicity 4)  2 Al 2.67, 2 Y 2.67, 4 Ru 2.95-2.97


# 2
# Y2AlRu

Crystalline Y2AlRu at its relaxed geometry (GGA-PBE, the Alexandria database).

Summary:
Uncorrected energy, eV per cell: -102.745
ΔH_f (0 K), eV per atom: 0.065
Spin magnetization, Bohr magnetons per cell: 0.00

abc: 8.0807 8.0807 5.8174
angles: 90.00 90.00 90.00
Last column: nearest neighbours and their distance in Å.
Space group I-42d (No. 122)
Unique sites:
Y 0.1924 0.2500 0.1250 (multiplicity 8)  2 Ru 2.65
Al 0.0000 0.0000 0.5000 (multiplicity 4)  2 Ru 2.91
Ru 0.0000 0.0000 0.0000 (multiplicity 4)  4 Y 2.65, 2 Al 2.91


# 3
# YAl2Ru

Crystalline YAl2Ru at its relaxed geometry (GGA-PBE, the Alexandria database).

Summary:
Uncorrected energy, eV per cell: -69.534
ΔH_f (0 K), eV per atom: 0.012
Spin magnetization, Bohr magnetons per cell: 0.00

abc: 3.2498 3.2498 25.8364
angles: 90.00 90.00 120.00
Last column: nearest neighbours and their distance in Å.
Space group R3m (No. 160, hexagonal axes)
Unique sites:
Y 0.0000 0.0000 0.0000 (multiplicity 3)  3 Ru 2.79
Al 0.0000 0.0000 0.5198 (multiplicity 3)  3 Ru 2.55
Al 0.0000 0.0000 0.7697 (multiplicity 3)  3 Al 2.86
Ru 0.0000 0.0000 0.2532 (multiplicity 3)  3 Al 2.55, 3 Y 2.79


# 4
# YAlRu2

Crystalline YAlRu2 at its relaxed geometry (GGA-PBE, the Alexandria database).

Summary:
Uncorrected energy, eV per cell: -59.813
ΔH_f (0 K), eV per atom: -0.287
Spin magnetization, Bohr magnetons per cell: 0.00

abc: 10.5253 3.1641 4.4695
angles: 90.00 114.08 90.00
Last column: nearest neighbours and their distance in Å.
Space group Cm (No. 8)
Unique sites:
Y 0.0000 0.0000 0.0000 (multiplicity 2)  6 Ru 2.72-2.98
Al 0.2225 0.0000 0.7025 (multiplicity 2)  6 Ru 2.72-2.78
Ru 0.2632 0.5000 0.2384 (multiplicity 2)  2 Ru 2.72, 4 Al 2.75-2.78, 2 Y 2.98
Ru 0.4928 0.0000 0.4978 (multiplicity 2)  2 Al 2.72, 2 Ru 2.72, 4 Y 2.72-2.76


# 5
# Y2AlRu

Crystalline Y2AlRu at its relaxed geometry (GGA-PBE, the Alexandria database).

Summary:
Uncorrected energy, eV per cell: -54.484
ΔH_f (0 K), eV per atom: -0.324
Spin magnetization, Bohr magnetons per cell: 0.00

abc: 3.4006 4.9087 10.7108
angles: 90.00 90.00 90.00
Last column: nearest neighbours and their distance in Å.
Space group Imm2 (No. 44)
Unique sites:
Y 0.0000 0.0000 0.0000 (multiplicity 2)  4 Ru 2.99, 2 Al 3.22, 2 Y 3.32
Y 0.0000 0.5000 0.2089 (multiplicity 2)  2 Ru 2.97, 4 Al 3.16, 2 Y 3.32
Al 0.0000 0.5000 0.8050 (multiplicity 2)  2 Ru 2.54
Ru 0.0000 0.0000 0.4815 (multiplicity 2)  2 Al 2.54


# 6
# YAlRu2

Crystalline YAlRu2 at its relaxed geometry (GGA-PBE, the Alexandria database).

Summary:
Uncorrected energy, eV per cell: -29.427
ΔH_f (0 K), eV per atom: -0.167
Spin magnetization, Bohr magnetons per cell: 0.00

abc: 2.9671 2.9671 7.8949
angles: 90.00 90.00 90.00
Last column: nearest neighbours and their distance in Å.
Space group P4mm (No. 99)
Unique sites:
Y 0.0000 0.0000 0.0000 (multiplicity 1)  4 Y 2.97, 4 Ru 3.07, 4 Al 3.22
Al 0.5000 0.5000 0.3099 (multiplicity 1)  4 Ru 2.66, 4 Al 2.97
Ru 0.0000 0.0000 0.5173 (multiplicity 1)  4 Ru 2.62, 4 Al 2.66
Ru 0.5000 0.5000 0.7155 (multiplicity 1)  4 Ru 2.62


# 7
# YAl2Ru

Crystalline YAl2Ru at its relaxed geometry (GGA-PBE, the Alexandria database).

Summary:
Uncorrected energy, eV per cell: -50.348
ΔH_f (0 K), eV per atom: -0.487
Spin magnetization, Bohr magnetons per cell: 0.00

abc: 7.5132 4.3370 5.5564
angles: 90.00 116.58 90.00
Last column: nearest neighbours and their distance in Å.
Space group Cm (No. 8)
Unique sites:
Y 0.0000 0.0000 0.0000 (multiplicity 2)  1 Ru 2.82, 1 Al 3.00
Al 0.2008 0.0000 0.6039 (multiplicity 2)  3 Ru 2.64-2.65, 3 Al 2.72
Al 0.4633 0.0000 0.3909 (multiplicity 2)  3 Ru 2.51, 3 Al 2.72
Ru 0.3103 0.5000 0.4318 (multiplicity 2)  6 Al 2.51-2.65


# 8
# YAlRu2

Crystalline YAlRu2 at its relaxed geometry (GGA-PBE, the Alexandria database).

Summary:
Uncorrected energy, eV per cell: -114.587
ΔH_f (0 K), eV per atom: 0.028
Spin magnetization, Bohr magnetons per cell: 5.98

abc: 6.5257 6.5257 6.5257
angles: 90.00 90.00 90.00
Last column: nearest neighbours and their distance in Å.
Space group F-43m (No. 216)
Unique sites:
Y 0.0000 0.0000 0.0000 (multiplicity 4)  4 Ru 2.83, 4 Al 2.83
Al 0.2500 0.2500 0.7500 (multiplicity 4)  4 Ru 2.83, 4 Y 2.83
Ru 0.0000 0.0000 0.5000 (multiplicity 4)  4 Ru 2.83, 4 Al 2.83
Ru 0.2500 0.2500 0.2500 (multiplicity 4)  4 Ru 2.83, 4 Y 2.83